1.
Entry from Alexandria: a geometry-optimized KAgBiI6 structure (PBE-GGA).

Cell: 7.707 7.717 7.805 Å, 93.12 93.21 114.90°
Space group P1 (No. 1)
Unique sites:
K: 0.000 0.000 0.000 [1 per cell]
Ag: 0.673 0.323 0.503 [1 per cell]
Bi: 0.330 0.669 0.502 [1 per cell]
I: 0.003 0.626 0.248 [1 per cell]
I: 0.014 0.363 0.699 [1 per cell]
I: 0.379 0.996 0.759 [1 per cell]
I: 0.405 0.365 0.262 [1 per cell]
I: 0.633 0.592 0.743 [1 per cell]
I: 0.638 0.986 0.306 [1 per cell]

Properties
Crystal system: triclinic
Raw total energy: -2.427 eV per atom

2.
Entry from Alexandria: a geometry-optimized BaZrClF2 structure (PBE-GGA).

Cell: 4.884 4.884 6.436 Å, 90.00 90.00 90.00°
Space group P4/mmm (No. 123)
Unique sites:
Ba: 0.000 0.000 0.000 [1 per cell]
Zr: 0.500 0.500 0.500 [1 per cell]
Cl: 0.000 0.000 0.500 [1 per cell]
F: 0.000 0.500 0.000 [2 per cell]

Properties
Crystal system: tetragonal
Raw total energy: -4.819 eV per atom

3.
Entry from Alexandria: a geometry-optimized Nd2Sm9In structure (PBE-GGA).

Cell: 5.045 5.045 15.452 Å, 90.00 90.00 90.00°
Space group P4/mmm (No. 123)
Unique sites:
Nd: 0.000 0.000 0.170 [2 per cell]
Sm: 0.000 0.500 0.000 [2 per cell]
Sm: 0.000 0.500 0.341 [4 per cell]
Sm: 0.500 0.500 0.172 [2 per cell]
Sm: 0.500 0.500 0.500 [1 per cell]
In: 0.000 0.000 0.500 [1 per cell]

Properties
Crystal system: tetragonal
Formation enthalpy at 0 K: -0.0656 eV per atom

> What is the formula in the second record?

BaZrClF2